1.
DFT (PBE) results for a relaxed structure of CaPmNd2Te4.

The structure in POSCAR format:
```
CaPmNd2Te4
1.0
7.7877 0.0000 0.0000
0.0000 4.4506 0.0000
-2.5327 0.0000 7.3796
Ca Pm Nd Te
1 1 2 4
Cartesian
0.0000 0.0000 0.0000
3.8938 2.2253 0.0000
-1.2663 2.2253 3.6898
2.6275 0.0000 3.6898
1.2990 2.2253 1.8062
0.0266 0.0000 5.5677
5.2284 0.0000 1.8120
3.9560 2.2253 5.5735
```

Energy relative to the elements, uncorrected = -1.46 eV/atom
SG = No. 10
Total magnetic moment = 0.00 μB per formula unit

=====

2.
DFT (PBE) results for a relaxed structure of CaPm2Nd3Te6.

The structure in POSCAR format:
```
CaPm2Nd3Te6
1.0
9.7907 -2.2351 0.0000
9.7907 2.2351 0.0000
-2.1034 0.0000 8.7666
Ca Pm Nd Te
1 2 3 6
Cartesian
0.0000 0.0000 0.0000
5.0577 0.0000 5.7819
12.4202 0.0000 2.9847
-1.0517 0.0000 4.3833
6.1288 0.0000 1.5061
11.3492 0.0000 7.2605
3.0390 0.0000 0.7248
2.0100 0.0000 5.0909
8.1759 0.0000 6.6129
9.3021 0.0000 2.1537
15.4680 0.0000 3.6757
14.4390 0.0000 8.0418
```

Energy relative to the elements, uncorrected = -1.45 eV/atom
SG = No. 12
Total magnetic moment = 0.00 μB per formula unit

=====

3.
DFT (PBE) results for a relaxed structure of Ca4Pm3NdTe8.

The structure in POSCAR format:
```
Ca4Pm3NdTe8
1.0
4.4442 2.5658 7.4622
-4.4442 2.5658 7.4622
0.0000 -5.1317 7.4622
Ca Pm Nd Te
4 3 1 8
Cartesian
0.0000 0.0000 0.0000
-2.2221 -1.2829 7.4622
-2.2221 1.2829 14.9243
0.0000 2.5658 7.4622
-4.4442 0.0000 11.1932
-2.2221 1.2829 3.7311
2.2221 1.2829 3.7311
0.0000 0.0000 11.1932
0.0000 -2.5752 9.2994
-2.2302 1.2876 9.2994
-2.2302 -1.2876 13.0871
0.0000 0.0000 5.6182
0.0000 0.0000 16.7683
2.2302 1.2876 9.2994
2.2302 -1.2876 13.0871
0.0000 2.5752 13.0871
```

Energy relative to the elements, uncorrected = -1.51 eV/atom
SG = No. 166
Total magnetic moment = 0.00 μB per formula unit